1.
The following is a GGA-PBEsol calculation of an optimized crystal structure of CaAlTe2I, from Alexandria via LeMat-Bulk.

D(E_F) = 1.0749 states/eV/atom
SG = P4/mmm
Raw total energy = -15.1 eV per cell
Formation energy from raw total energies = -14 meV per atom

a = 5.758 Å, b = 5.758 Å, c = 5.934 Å
α = 90.00°, β = 90.00°, γ = 90.00°
Element x y z (fractional)
Ca (0.000, 0.000, 0.000)
Al (0.500, 0.500, 0.500)
Te (0.000, 0.500, 0.000)
Te (0.500, 0.000, 0.000)
I (0.000, 0.000, 0.500)

2.
The following is a GGA-PBEsol calculation of an optimized crystal structure of Ca3AlIn, from Alexandria via LeMat-Bulk.

D(E_F) = 1.2901 states/eV/atom
SG = Pm-3m
ΔE_f = 1.4 eV per formula unit
Raw total energy = -12.1 eV per cell

a = 5.826 Å, b = 5.826 Å, c = 5.826 Å
α = 90.00°, β = 90.00°, γ = 90.00°
Element x y z (fractional)
Ca (0.000, 0.000, 0.500)
Ca (0.000, 0.500, 0.000)
Ca (0.500, 0.000, 0.000)
Al (0.500, 0.500, 0.500)
In (0.000, 0.000, 0.000)

3.
The following is a GGA-PBEsol calculation of an optimized crystal structure of CaAl3In, from Alexandria via LeMat-Bulk.

D(E_F) = 0.8225 states/eV/atom
SG = Pm-3m
ΔE_f = 5.7 eV per formula unit
Raw total energy = -11.7 eV per cell

a = 5.517 Å, b = 5.517 Å, c = 5.517 Å
α = 90.00°, β = 90.00°, γ = 90.00°
Element x y z (fractional)
Ca (0.000, 0.000, 0.000)
Al (0.000, 0.000, 0.500)
Al (0.000, 0.500, 0.000)
Al (0.500, 0.000, 0.000)
In (0.500, 0.500, 0.500)